No. 1
80
Lattice="-2.805 4.467 -11.759 11.037 -6.639 -0.446 -9.496 -7.720 4.041" Properties=species:S:1:pos:R:3 comment="Ag12Se3F5 | Alexandria | PBE-GGA | relaxed" e_tot_ev_per_cell=-253.5 pbc="T T T"
Se 0.848 -0.105 -8.482
Se 4.637 -2.036 -10.119
Se 1.291 -8.129 -2.219
Se -2.883 -2.608 -1.480
Se -3.449 1.149 -9.335
Se 3.472 -4.404 -3.678
Se -4.736 -5.488 -4.486
Se 2.185 -11.040 1.171
Se 1.619 -7.284 -6.684
Se -2.555 -1.763 -5.946
Se -5.900 -7.856 1.955
Se -2.112 -9.787 0.317
F 1.414 -3.861 -0.627
F 5.519 -3.319 -0.223
F 0.000 0.000 0.000
F 0.520 -0.950 -4.016
F -6.151 -1.626 -3.859
F 4.116 -1.086 -6.103
F 4.366 -7.316 -0.289
F -9.033 -4.234 -5.339
F 1.234 -3.694 -7.583
F -6.794 -4.945 -1.435
F 5.531 -4.947 -6.730
F -0.632 -4.946 -4.082
F -1.403 2.233 -5.880
F -4.748 -3.860 2.021
F -2.497 -6.198 -0.581
F 7.770 -5.657 -2.825
F 0.771 -7.179 1.797
F -5.630 -2.576 -7.875
F -1.784 -8.942 -4.148
F -2.678 -6.031 -7.537
Ag -1.086 1.972 -8.386
Ag 1.180 -5.460 -2.378
Ag -1.187 -0.330 -10.205
Ag -0.297 -0.046 -6.064
Ag -0.056 -7.365 -4.599
Ag 2.078 -0.952 -10.702
Ag 3.783 -6.807 -2.543
Ag 8.522 -6.666 -0.802
Ag 2.438 -8.911 -4.506
Ag 2.880 -2.051 -8.101
Ag -0.732 -2.366 -7.809
Ag 7.355 -2.828 -9.914
Ag 2.404 -8.498 0.367
Ag 2.710 -1.882 -4.143
Ag 6.396 -8.539 -0.039
Ag -5.187 -3.530 -2.480
Ag -0.493 -2.476 -0.283
Ag 5.434 -3.083 -5.249
Ag 5.069 -4.432 -9.010
Ag 3.352 -2.712 -1.402
Ag 2.078 -10.619 -1.635
Ag 1.496 -4.728 -5.452
Ag 1.290 -5.631 -8.969
Ag -7.165 -5.692 -5.589
Ag -2.760 -5.163 -2.712
Ag -2.554 -4.261 0.805
Ag 5.902 -4.199 -2.575
Ag -6.333 -5.460 0.846
Ag -3.342 0.727 -6.529
Ag -4.616 -7.180 -6.762
Ag -6.698 -6.809 -2.915
Ag 3.923 -6.362 -5.685
Ag -0.770 -7.416 -7.881
Ag -7.659 -1.352 -8.126
Ag -3.668 -1.394 -8.532
Ag -8.619 -7.064 1.749
Ag -3.973 -8.010 -4.021
Ag -3.702 -0.981 -3.658
Ag -4.144 -7.841 -0.063
Ag -0.532 -7.526 -0.355
Ag -9.786 -3.226 -7.362
Ag -5.047 -3.085 -5.622
Ag -0.967 -9.846 -2.100
Ag -3.342 -8.940 2.538
Ag -1.208 -2.527 -3.566
Ag -0.077 -9.561 2.040
Ag -2.444 -4.432 -5.786
Ag -0.178 -11.864 0.222

No. 2
8
Lattice="3.700 -0.167 1.365 1.887 6.204 0.209 -0.684 0.082 6.450" Properties=species:S:1:pos:R:3 comment="Ag5Se2F | Alexandria | PBE-GGA | relaxed" e_tot_ev_per_cell=-25.2 pbc="T T T"
Ag 2.549 1.970 2.984
Ag 3.663 1.902 5.886
Ag 4.635 4.212 3.535
Ag 1.962 4.143 4.874
Ag 4.210 6.034 7.654
Se 3.350 3.672 1.115
Se 1.852 0.113 4.744
F 0.824 0.858 1.184

No. 3
8
Lattice="-0.831 -5.525 0.436 1.151 -0.604 -5.451 5.901 -3.826 -1.211" Properties=species:S:1:pos:R:3 comment="Ag2SeF | Alexandria | PBE-GGA | relaxed" polymorph_energy_ev_per_atom=0.080 pbc="T T T"
Se 0.000 0.000 0.000
Se 2.615 -6.207 -1.641
Ag 1.118 -4.359 -0.721
Ag 2.072 -2.150 -3.645
Ag 4.572 -5.181 -2.912
Ag 4.679 -8.218 -5.172
F 0.160 -3.064 -2.507
F 3.606 -3.747 -4.585

No. 4
11
Lattice="-4.283 1.928 -3.218 -2.896 -6.266 1.229 -1.293 4.272 5.407" Properties=species:S:1:pos:R:3 comment="Ag7Se2F2 | Alexandria | PBE-GGA | relaxed" e_tot_ev_per_cell=-33.8 pbc="T T T"
Ag -5.986 -1.936 3.260
Ag -2.886 -0.763 -0.886
Ag -2.486 1.870 0.157
Ag -5.586 0.697 4.304
Ag 0.000 0.000 0.000
Ag -5.884 0.340 1.401
Ag -2.589 -0.406 2.017
Se -4.523 -1.917 0.962
Se -3.949 1.851 2.456
F -3.862 -1.224 4.570
F -4.610 1.158 -1.152

No. 5
8
Lattice="3.600 -0.297 0.217 -0.395 6.747 0.534 0.362 -0.324 6.611" Properties=species:S:1:pos:R:3 comment="Ag2SeF | Alexandria | PBE-GGA | relaxed" polymorph_energy_ev_per_atom=0.000 pbc="T T T"
Ag 0.286 5.277 6.917
Ag 0.317 3.063 3.621
Ag 2.152 1.911 6.830
Ag 2.451 -0.071 3.340
Se 0.377 0.912 5.132
Se 2.134 4.290 5.171
F 0.955 0.113 1.639
F -0.036 3.389 1.393

No. 6
8
Lattice="4.777 0.001 -2.116 -0.946 4.682 -2.115 -0.109 -0.134 6.194" Properties=species:S:1:pos:R:3 comment="Ag4SeF3 | Alexandria | PBE-GGA | relaxed" e_tot_ev_per_cell=-26.5 pbc="T T T"
Se 0.000 0.000 0.000
Ag 4.195 2.209 3.021
Ag 1.333 4.549 3.021
Ag 0.949 1.159 2.142
Ag 2.773 3.390 -0.179
F 1.916 2.342 -2.116
F 3.292 1.105 0.982
F 0.430 3.445 0.982

No. 7
16
Lattice="3.021 0.000 0.000 -1.511 6.811 0.000 0.000 0.000 15.081" Properties=species:S:1:pos:R:3 comment="Ag5SeF2 | Alexandria | PBE-GGA | relaxed" polymorph_energy_ev_per_atom=0.030 pbc="T T T"
Ag 1.511 5.309 13.693
Ag 1.511 5.309 8.928
Ag 0.000 4.254 6.656
Ag 0.000 4.254 0.884
Ag 1.511 4.921 3.770
Ag 0.000 1.890 11.311
Ag 1.511 2.556 8.425
Ag 1.511 2.556 14.197
Ag 0.000 1.502 1.388
Ag 0.000 1.502 6.153
Se 1.511 4.115 11.311
Se 0.000 2.696 3.770
F 1.511 6.062 5.864
F 1.511 6.062 1.677
F 0.000 0.749 9.217
F 0.000 0.749 13.404

No. 8
8
Lattice="7.766 0.000 0.000 0.000 7.766 0.000 3.883 3.883 2.526" Properties=species:S:1:pos:R:3 comment="AgSeF2 | Alexandria | PBE-GGA | relaxed" polymorph_energy_ev_per_atom=0.284 pbc="T T T"
Se 3.883 3.883 0.000
Se 3.883 7.766 1.263
Ag 0.000 0.000 0.000
Ag 7.766 3.883 1.263
F 4.763 1.942 0.631
F 3.003 5.825 0.631
F 5.825 6.886 1.894
F 9.708 8.646 1.894

No. 9
11
Lattice="-2.939 1.372 -5.210 -0.075 -5.695 -2.762 -4.452 -4.499 0.023" Properties=species:S:1:pos:R:3 comment="AgSe2F8 | Alexandria | PBE-GGA | relaxed" polymorph_energy_ev_per_atom=0.000 pbc="T T T"
Ag 0.000 0.000 0.000
Se -5.267 -7.060 -5.248
Se -2.199 -1.762 -2.701
F -4.896 -6.000 -2.345
F -4.957 -2.170 -4.085
F -5.217 -8.786 -4.428
F -2.250 -0.036 -3.521
F -2.510 -6.652 -3.864
F -2.570 -2.822 -5.604
F -5.369 -5.444 -6.103
F -2.097 -3.378 -1.846

No. 10
11
Lattice="-3.644 -5.274 -1.001 4.926 -4.072 1.119 -0.862 -4.055 5.785" Properties=species:S:1:pos:R:3 comment="Ag7Se3F | Alexandria | PBE-GGA | relaxed" e_tot_ev_per_cell=-34.2 pbc="T T T"
Ag 0.404 -11.096 4.660
Ag -2.081 -9.410 4.145
Ag -1.991 -4.416 1.211
Ag 2.316 -8.793 5.232
Ag 0.115 -7.378 3.720
Ag 2.285 -3.816 2.269
Ag 0.048 -2.180 1.042
Se -2.087 -6.798 2.339
Se 0.607 -4.723 0.225
Se 2.469 -6.159 3.466
F -0.790 -4.112 5.527

No. 11
8
Lattice="-4.687 1.916 0.335 -0.798 -1.051 -5.160 -1.228 -3.648 3.682" Properties=species:S:1:pos:R:3 comment="AgSeF6 | Alexandria | PBE-GGA | relaxed" polymorph_energy_ev_per_atom=0.000 pbc="T T T"
Ag -2.343 0.958 0.168
Se -0.942 -1.917 -2.213
F -5.189 -1.785 -2.333
F -2.180 -1.758 -3.637
F -2.334 -2.577 -1.113
F -4.264 0.602 -3.045
F -4.357 -0.075 -0.477
F -1.385 -0.158 -1.670

No. 12
12
Lattice="0.061 -5.780 3.976 6.154 0.713 -3.291 -1.096 5.599 4.083" Properties=species:S:1:pos:R:3 comment="Ag4SeF | Alexandria | PBE-GGA | relaxed" polymorph_energy_ev_per_atom=0.202 pbc="T T T"
Ag 5.106 3.421 0.733
Ag 2.007 -0.306 4.349
Ag 2.749 -2.473 2.155
Ag -0.106 -0.095 1.431
Ag 2.122 3.207 2.585
Ag -0.775 -0.212 6.644
Ag 0.220 -2.535 4.069
Ag 2.813 0.559 0.374
Se 4.468 -3.642 0.492
Se 5.443 0.781 0.717
F 1.840 -1.500 0.203
F 2.816 2.922 0.427

Number 1: total magnetic moment 0.0 μB/cell. Number 2: total magnetic moment 0.0 μB/cell. Number 3: total magnetic moment 0.0 μB/cell. Number 4: total magnetic moment 0.0 μB/cell. Number 5: total magnetic moment 0.0 μB/cell. Number 6: total magnetic moment 0.0 μB/cell. Number 7: total magnetic moment 0.0 μB/cell. Number 8: total magnetic moment 0.0 μB/cell. Number 9: total magnetic moment 0.0 μB/cell. Number 10: total magnetic moment 0.0 μB/cell. Number 11: total magnetic moment 0.0 μB/cell. Number 12: total magnetic moment 0.0 μB/cell.